Computed, not measured: a geometry-optimized SrIn2W structure at the PBE level of DFT.

Cell lengths 3.1587, 3.1587, 9.3074 Å; angles 90.00, 90.00, 90.00 degrees
Last column: magnetic moment on the atom in μB.
Positions (direct):
In 0.0000 0.0000 0.9651  0.00
In 0.0000 0.0000 0.5349  0.00
Sr 0.5000 0.5000 0.2500  -0.01
W 0.5000 0.5000 0.7500  0.26

Properties
As for the symmetry: No. 123. The calculation puts the energy above the most stable polymorph in this dataset at 0.000 eV per atom. The calculation puts the magnetization at 0.31 Bohr magnetons per cell. The total energy comes out at -4.665 eV/atom.



Computed, not measured: a geometry-optimized HfHCl structure at the PBE level of DFT.

Cell lengths 3.2361, 3.8357, 9.1137 Å; angles 91.12, 90.00, 90.00 degrees
Positions (direct):
Hf 0.2500 0.2429 0.6096
Hf 0.7500 0.7571 0.3904
H 0.7500 0.2576 0.4756
H 0.2500 0.7424 0.5244
Cl 0.2501 0.7527 0.1781
Cl 0.7499 0.2473 0.8219

Properties
As for the symmetry: No. 11. The calculation puts the magnetization at 0.00 Bohr magnetons per cell. The total energy comes out at -5.891 eV/atom.



Computed, not measured: a geometry-optimized Pr3NdHo2 structure at the PBE level of DFT.

Cell lengths 3.5164, 6.0354, 10.4895 Å; angles 106.72, 99.65, 90.00 degrees
Positions (direct):
Pr 0.0000 0.5000 0.0000
Pr 0.8101 0.8101 0.6202
Pr 0.1899 0.1899 0.3798
Nd 0.0000 0.0000 0.0000
Ho 0.6381 0.6381 0.2762
Ho 0.3619 0.3619 0.7238

Properties
As for the symmetry: No. 71. The calculation puts the energy above the most stable polymorph in this dataset at 0.300 eV per atom. The calculation puts the magnetization at 0.00 Bohr magnetons per cell. The total energy comes out at -4.393 eV/atom.



Computed, not measured: a geometry-optimized PrSm5Tm2Sc structure at the PBE level of DFT.

Cell lengths 5.6168, 10.4497, 10.4391 Å; angles 90.00, 90.00, 105.59 degrees
Positions (direct):
Pr 0.5897 0.1794 0.9547
Pr 0.4103 0.8206 0.4547
Sm 0.3761 0.7523 0.0198
Sm 0.7240 0.4481 0.8217
Sm 0.4829 0.9659 0.7412
Sm 0.2988 0.5976 0.7077
Sm 0.9829 0.9657 0.5167
Sm 0.6239 0.2477 0.5198
Sm 0.2760 0.5519 0.3217
Sm 0.5171 0.0341 0.2412
Sm 0.7012 0.4024 0.2077
Sm 0.0171 0.0343 0.0167
Tm 0.8875 0.7751 0.8111
Tm 0.1158 0.2316 0.7360
Tm 0.1125 0.2249 0.3111
Tm 0.8842 0.7684 0.2360
Sc 0.8051 0.6102 0.5149
Sc 0.1949 0.3898 0.0149

Properties
As for the symmetry: No. 36. The calculation puts the magnetization at 0.00 Bohr magnetons per cell. The total energy comes out at -4.680 eV/atom.



Computed, not measured: a geometry-optimized CsPbSeCl6 structure at the PBE level of DFT.

Cell lengths 7.2994, 7.5102, 7.6105 Å; angles 93.18, 91.63, 59.01 degrees
Last column: magnetic moment on the atom in μB.
Positions (direct):
Cs 0.9762 0.0119 0.0001  0.00
Pb 0.6256 0.6871 0.5000  0.01
Se 0.3294 0.3353 0.5000  0.43
Cl 0.0633 0.3387 0.3108  0.03
Cl 0.3654 0.9915 0.7359  0.10
Cl 0.6053 0.3547 0.6802  0.01
Cl 0.0631 0.5983 0.6890  0.03
Cl 0.3658 0.6429 0.2639  0.10
Cl 0.6056 0.0397 0.3200  0.01

Properties
As for the symmetry: No. 5. The calculation puts the magnetization at 1.01 Bohr magnetons per cell. The raw formation energy comes out at -0.92 eV/atom. The total energy comes out at -3.042 eV/atom.



Computed, not measured: a geometry-optimized CaCd2Au2 structure at the PBE level of DFT.

Cell lengths 5.1400, 5.1400, 5.9634 Å; angles 64.47, 64.47, 90.00 degrees
Positions (direct):
Ca 0.0000 0.0000 0.0000
Au 0.7500 0.2500 0.5000
Au 0.2500 0.7500 0.5000
Cd 0.3561 0.3561 0.2878
Cd 0.6439 0.6439 0.7122

Properties
As for the symmetry: No. 139. The calculation puts the energy above the most stable polymorph in this dataset at 0.128 eV per atom. The calculation puts the magnetization at 0.00 Bohr magnetons per cell. The total energy comes out at -2.416 eV/atom.



Computed, not measured: a geometry-optimized TmLuSiRh structure at the PBE level of DFT.

Cell lengths 4.8271, 4.8271, 4.8271 Å; angles 60.00, 60.00, 60.00 degrees
Positions (direct):
Rh 0.7500 0.7500 0.7500
Si 0.2500 0.2500 0.2500
Lu 0.0000 0.0000 0.0000
Tm 0.5000 0.5000 0.5000

Properties
As for the symmetry: No. 216. The calculation puts the magnetization at 0.00 Bohr magnetons per cell. The raw formation energy comes out at -0.72 eV/atom. The total energy comes out at -6.160 eV/atom.



Computed, not measured: a geometry-optimized La2ScAuC structure at the PBE level of DFT.

Cell lengths 5.2622, 5.2622, 4.4221 Å; angles 90.00, 90.00, 90.00 degrees
Positions (direct):
Sc 0.0000 0.0000 0.5000
C 0.0000 0.0000 0.0000
Au 0.5000 0.5000 0.5000
La 0.0000 0.5000 0.0000
La 0.5000 0.0000 0.0000

Properties
As for the symmetry: No. 123. The calculation puts the magnetization at 0.00 Bohr magnetons per cell. The total energy comes out at -6.109 eV/atom.



Computed, not measured: a geometry-optimized LiTcRh structure at the PBE level of DFT.

Cell lengths 4.5287, 4.5287, 4.5287 Å; angles 145.51, 129.03, 63.00 degrees
Positions (direct):
Li 0.9980 0.9980 0.0000
Rh 0.3307 0.3307 0.0000
Tc 0.6714 0.6714 0.0000

Properties
As for the symmetry: No. 44. The calculation puts the energy above the most stable polymorph in this dataset at 0.024 eV per atom. The calculation puts the magnetization at 0.00 Bohr magnetons per cell. The total energy comes out at -6.478 eV/atom.



Computed, not measured: a geometry-optimized Sm2Er3Cd6 structure at the PBE level of DFT.

Cell lengths 4.9964, 4.9964, 14.2628 Å; angles 100.09, 100.09, 90.00 degrees
Last column: magnetic moment on the atom in μB.
Positions (direct):
Sm 0.3643 0.3643 0.7287  0.07
Sm 0.6357 0.6357 0.2713  0.07
Er 0.0000 0.0000 0.0000  -0.01
Er 0.8671 0.8671 0.7341  0.08
Er 0.1329 0.1329 0.2659  0.08
Cd 0.0633 0.5633 0.1267  0.00
Cd 0.5633 0.0633 0.1267  0.00
Cd 0.9367 0.4367 0.8733  0.00
Cd 0.4367 0.9367 0.8733  0.00
Cd 0.7525 0.7525 0.5051  0.00
Cd 0.2475 0.2475 0.4949  0.00

Properties
As for the symmetry: No. 139. The calculation puts the magnetization at 0.40 Bohr magnetons per cell. The total energy comes out at -2.501 eV/atom.



Computed, not measured: a geometry-optimized Li3Ce2Cd4 structure at the PBE level of DFT.

Cell lengths 6.1036, 8.3964, 8.7087 Å; angles 90.00, 110.51, 90.00 degrees
Last column: magnetic moment on the atom in μB.
Positions (direct):
Li 0.0000 0.0000 0.0000  0.00
Li 0.5000 0.5000 0.0000  0.00
Li 0.5241 0.7500 0.5483  0.00
Li 0.9759 0.2500 0.4517  0.00
Li 0.4759 0.2500 0.4517  0.00
Li 0.0241 0.7500 0.5483  0.00
Ce 0.1093 0.5940 0.2186  0.90
Ce 0.8907 0.4060 0.7814  0.90
Ce 0.3907 0.0940 0.7814  0.90
Ce 0.6093 0.9060 0.2186  0.90
Cd 0.6925 0.7500 0.8850  0.00
Cd 0.8075 0.2500 0.1150  0.00
Cd 0.3075 0.2500 0.1150  0.00
Cd 0.1925 0.7500 0.8850  0.00
Cd 0.1817 0.9782 0.3634  0.00
Cd 0.8183 0.0218 0.6366  0.00
Cd 0.3183 0.4782 0.6366  0.00
Cd 0.6817 0.5218 0.3634  0.00

Properties
As for the symmetry: No. 64. The calculation puts the magnetization at 4.11 Bohr magnetons per cell. The total energy comes out at -2.482 eV/atom.



Computed, not measured: a geometry-optimized RbZr2ReMo structure at the PBE level of DFT.

Cell lengths 4.9033, 4.5813, 4.9033 Å; angles 90.00, 90.00, 90.00 degrees
Last column: magnetic moment on the atom in μB.
Positions (direct):
Re 0.5000 0.5000 0.5000  0.88
Mo 0.0000 0.5000 0.0000  -0.12
Rb 0.0000 0.0000 0.0000  -0.01
Zr 0.0000 0.0000 0.5000  -0.06
Zr 0.5000 0.0000 0.0000  -0.07

Properties
As for the symmetry: No. 123. The calculation puts the magnetization at 0.70 Bohr magnetons per cell. The total energy comes out at -5.430 eV/atom.



Computed, not measured: a geometry-optimized KLaP2S structure at the PBE level of DFT.

Cell lengths 5.7093, 5.7093, 5.5697 Å; angles 90.00, 90.00, 90.00 degrees
Last column: magnetic moment on the atom in μB.
Positions (direct):
P 0.0000 0.5000 0.0000  0.40
P 0.5000 0.0000 0.0000  0.40
K 0.5000 0.5000 0.5000  0.00
S 0.0000 0.0000 0.5000  0.21
La 0.0000 0.0000 0.0000  0.04

Properties
As for the symmetry: No. 123. The calculation puts the energy above the most stable polymorph in this dataset at 0.000 eV per atom. The calculation puts the magnetization at 2.33 Bohr magnetons per cell. The raw formation energy comes out at -0.13 eV/atom. The total energy comes out at -4.327 eV/atom.



Computed, not measured: a geometry-optimized Li2Al5Cu4 structure at the PBE level of DFT.

Cell lengths 4.3844, 7.3996, 5.1498 Å; angles 88.04, 115.19, 90.00 degrees
Positions (direct):
Li 0.5805 0.3549 0.1609
Li 0.4195 0.6451 0.8391
Al 0.8590 0.4554 0.7181
Al 0.1410 0.5446 0.2819
Al 0.7881 0.0918 0.5763
Al 0.5000 0.0000 0.0000
Al 0.2119 0.9082 0.4237
Cu 0.3101 0.2699 0.6201
Cu 0.9554 0.8139 0.9108
Cu 0.6899 0.7301 0.3799
Cu 0.0446 0.1861 0.0892

Properties
As for the symmetry: No. 12. The calculation puts the energy above the most stable polymorph in this dataset at 0.000 eV per atom. The calculation puts the magnetization at 0.00 Bohr magnetons per cell. The total energy comes out at -3.703 eV/atom.



Computed, not measured: a geometry-optimized CaPrCdSn structure at the PBE level of DFT.

Cell lengths 5.4590, 5.4590, 5.4590 Å; angles 60.00, 60.00, 60.00 degrees
Positions (direct):
Pr 0.5000 0.5000 0.5000
Ca 0.0000 0.0000 0.0000
Sn 0.2500 0.2500 0.2500
Cd 0.7500 0.7500 0.7500

Properties
As for the symmetry: No. 216. The calculation puts the energy above the most stable polymorph in this dataset at 0.014 eV per atom. The calculation puts the magnetization at 0.00 Bohr magnetons per cell. The total energy comes out at -3.448 eV/atom.



Computed, not measured: a geometry-optimized Ho2Tl3CuTe6 structure at the PBE level of DFT.

Cell lengths 7.5434, 7.5434, 8.3782 Å; angles 99.99, 99.99, 119.17 degrees
Positions (direct):
Ho 0.3402 0.6598 0.0000
Ho 0.6598 0.3402 0.0000
Tl 0.1851 0.8149 0.5000
Tl 0.8149 0.1851 0.5000
Tl 0.5000 0.5000 0.5000
Cu 0.0000 0.0000 0.0000
Te 0.9378 0.6330 0.8066
Te 0.7444 0.7444 0.2395
Te 0.0622 0.3670 0.1934
Te 0.6330 0.9378 0.8066
Te 0.2556 0.2556 0.7605
Te 0.3670 0.0622 0.1934

Properties
As for the symmetry: No. 12. The calculation puts the magnetization at 0.00 Bohr magnetons per cell. The raw formation energy comes out at -0.64 eV/atom. The total energy comes out at -3.911 eV/atom.



Computed, not measured: a geometry-optimized TlIn4S6 structure at the PBE level of DFT.

Cell lengths 3.9878, 6.8458, 19.8996 Å; angles 90.00, 90.00, 106.93 degrees
Positions (direct):
Tl 0.6821 0.3641 0.2500
Tl 0.3179 0.6359 0.7500
In 0.8567 0.7133 0.5414
In 0.4285 0.8570 0.1345
In 0.1433 0.2867 0.4586
In 0.5715 0.1430 0.8655
In 0.8567 0.7133 0.9586
In 0.1433 0.2867 0.0414
In 0.5715 0.1430 0.6345
In 0.4285 0.8570 0.3655
S 0.5000 0.0000 0.0000
S 0.5000 0.0000 0.5000
S 0.0523 0.1046 0.3469
S 0.9477 0.8954 0.6531
S 0.9477 0.8954 0.8469
S 0.0523 0.1046 0.1531
S 0.7767 0.5535 0.4220
S 0.2233 0.4465 0.5780
S 0.2233 0.4465 0.9220
S 0.7767 0.5535 0.0780
S 0.3460 0.6920 0.2500
S 0.6540 0.3080 0.7500

Properties
As for the symmetry: No. 63. The calculation puts the magnetization at 0.00 Bohr magnetons per cell. The raw formation energy comes out at -0.46 eV/atom. The total energy comes out at -3.926 eV/atom.



Computed, not measured: a geometry-optimized CsCd3Pb structure at the PBE level of DFT.

Cell lengths 6.0713, 6.0713, 6.0713 Å; angles 90.00, 90.00, 90.00 degrees
Positions (direct):
Pb 0.0000 0.0000 0.0000
Cs 0.5000 0.5000 0.5000
Cd 0.0000 0.5000 0.0000
Cd 0.0000 0.0000 0.5000
Cd 0.5000 0.0000 0.0000

Properties
As for the symmetry: No. 221. The calculation puts the energy above the most stable polymorph in this dataset at 0.190 eV per atom. The calculation puts the magnetization at 0.00 Bohr magnetons per cell. The total energy comes out at -1.329 eV/atom.



Computed, not measured: a geometry-optimized CsCaNi3 structure at the PBE level of DFT.

Cell lengths 5.1606, 5.1606, 5.1606 Å; angles 90.00, 90.00, 90.00 degrees
Positions (direct):
Cs 0.5000 0.5000 0.5000
Ni 0.0000 0.5000 0.0000
Ni 0.0000 0.0000 0.5000
Ni 0.5000 0.0000 0.0000
Ca 0.0000 0.0000 0.0000

Properties
As for the symmetry: No. 221. The calculation puts the energy above the most stable polymorph in this dataset at 0.000 eV per atom. The calculation puts the magnetization at 0.00 Bohr magnetons per cell. The total energy comes out at -2.771 eV/atom.



Computed, not measured: a geometry-optimized Ba3Sr2Rh2 structure at the PBE level of DFT.

Cell lengths 4.3542, 7.4239, 9.6889 Å; angles 107.21, 102.98, 107.06 degrees
Positions (direct):
Ba 0.5000 0.0000 0.0000
Ba 0.1997 0.8278 0.5721
Ba 0.8003 0.1722 0.4279
Sr 0.6405 0.4575 0.8239
Sr 0.3595 0.5425 0.1761
Rh 0.0342 0.8531 0.2147
Rh 0.9658 0.1469 0.7853

Properties
As for the symmetry: No. 12. The calculation puts the magnetization at 0.00 Bohr magnetons per cell. The total energy comes out at -3.564 eV/atom.



Computed, not measured: a geometry-optimized Tm3Si2Pd2 structure at the PBE level of DFT.

Cell lengths 5.6419, 7.7004, 12.8474 Å; angles 90.00, 90.00, 90.00 degrees
Positions (direct):
Tm 0.1262 0.5938 0.1060
Tm 0.8738 0.4062 0.6060
Tm 0.8738 0.0938 0.3940
Tm 0.1262 0.9062 0.8940
Tm 0.8738 0.4062 0.8940
Tm 0.1262 0.5938 0.3940
Tm 0.1262 0.9062 0.6060
Tm 0.8738 0.0938 0.1060
Tm 0.3638 0.2312 0.2500
Tm 0.6362 0.7688 0.7500
Tm 0.6362 0.7312 0.2500
Tm 0.3638 0.2688 0.7500
Si 0.3070 0.2500 0.0000
Si 0.6930 0.7500 0.5000
Si 0.6930 0.7500 0.0000
Si 0.3070 0.2500 0.5000
Si 0.8566 0.3793 0.2500
Si 0.1434 0.6207 0.7500
Si 0.1434 0.8793 0.2500
Si 0.8566 0.1207 0.7500
Pd 0.6177 0.4457 0.0907
Pd 0.3823 0.5543 0.5907
Pd 0.3823 0.9457 0.4093
Pd 0.6177 0.0543 0.9093
Pd 0.3823 0.5543 0.9093
Pd 0.6177 0.4457 0.4093
Pd 0.6177 0.0543 0.5907
Pd 0.3823 0.9457 0.0907

Properties
As for the symmetry: No. 57. The calculation puts the magnetization at 0.00 Bohr magnetons per cell. The raw formation energy comes out at -0.91 eV/atom. The total energy comes out at -5.856 eV/atom.



Computed, not measured: a geometry-optimized LiSb5 structure at the PBE level of DFT.

Cell lengths 6.3923, 6.3923, 8.8750 Å; angles 72.92, 72.92, 28.86 degrees
Positions (direct):
Li 0.0020 0.0020 0.9710
Sb 0.4280 0.4280 0.2801
Sb 0.6107 0.6107 0.6645
Sb 0.6543 0.6543 0.3132
Sb 0.8502 0.8502 0.6394
Sb 0.2880 0.2880 0.9652

Properties
As for the symmetry: No. 8. The calculation puts the energy above the most stable polymorph in this dataset at 0.000 eV per atom. The calculation puts the magnetization at 0.00 Bohr magnetons per cell. The raw formation energy comes out at 0.01 eV/atom. The total energy comes out at -3.740 eV/atom.



Computed, not measured: a geometry-optimized K2TlAgI4 structure at the PBE level of DFT.

Cell lengths 4.8350, 8.3868, 17.7452 Å; angles 90.00, 90.00, 106.75 degrees
Positions (direct):
K 0.3666 0.7333 0.5597
K 0.6334 0.2667 0.0597
K 0.6334 0.2667 0.4403
K 0.3666 0.7333 0.9403
Tl 0.1204 0.2407 0.7500
Tl 0.8796 0.7593 0.2500
Ag 0.8404 0.6809 0.7500
Ag 0.1596 0.3191 0.2500
I 0.2802 0.5604 0.1291
I 0.7198 0.4396 0.6291
I 0.7198 0.4396 0.8709
I 0.2802 0.5604 0.3709
I 0.0000 0.0000 0.5000
I 0.0000 0.0000 0.0000
I 0.4402 0.8803 0.7500
I 0.5598 0.1197 0.2500

Properties
As for the symmetry: No. 63. The calculation puts the magnetization at 0.00 Bohr magnetons per cell. The raw formation energy comes out at -0.94 eV/atom. The total energy comes out at -2.645 eV/atom.